*one*
# BeCrCo3

A relaxed structure of BeCrCo3 (GGA-PBE, Alexandria).

The structure belongs to space group Pm-3m (No. 221); the cell edges are 4.112, 4.112 and 4.112 Å and the angles 90.00°, 90.00° and 90.00°. The asymmetric unit holds Be at (0.000, 0.000, 0.000), Cr at (0.500, 0.500, 0.500) and Co at (0.000, 0.500, 0.500).

***

*two*
# BeCrCo3

A relaxed structure of BeCrCo3 (GGA-PBE, Alexandria).

The structure belongs to space group Pm-3m (No. 221); the cell edges are 3.778, 3.778 and 3.778 Å and the angles 90.00°, 90.00° and 90.00°. The asymmetric unit holds Be at (0.000, 0.000, 0.000), Cr at (0.500, 0.500, 0.500) and Co at (0.000, 0.000, 0.500).

***

It is *one* that is the least stable of them.

***

*one*
# BeCrCo2H

A relaxed structure of BeCrCo2H (GGA-PBE, Alexandria).

The structure belongs to space group P4/mmm (No. 123); the cell edges are 3.535, 3.535 and 3.532 Å and the angles 90.00°, 90.00° and 90.00°. The asymmetric unit holds Be at (0.000, 0.000, 0.000), Cr at (0.500, 0.500, 0.000), Co at (0.000, 0.500, 0.500) and H at (0.500, 0.500, 0.500).

***

*two*
# BeCrCo2H

A relaxed structure of BeCrCo2H (GGA-PBE, Alexandria).

The structure belongs to space group P4/mmm (No. 123); the cell edges are 3.598, 3.598 and 3.361 Å and the angles 90.00°, 90.00° and 90.00°. The asymmetric unit holds Be at (0.000, 0.000, 0.000), Cr at (0.500, 0.500, 0.000), Co at (0.000, 0.500, 0.500) and H at (0.000, 0.000, 0.500).

***

It is *two* that is the least stable of them.

***

*one*
# BeCrCoP

A relaxed structure of BeCrCoP (GGA-PBE, Alexandria).

The structure belongs to space group Cm (No. 8); the cell edges are 8.440, 2.628 and 3.881 Å and the angles 90.00°, 107.53° and 90.00°. The asymmetric unit holds Be at (0.000, 0.000, 0.000), Cr at (0.248, 0.000, 0.846), Co at (0.486, 0.000, 0.488) and P at (0.250, 0.500, 0.342).

***

*two*
# BeCrCoP

A relaxed structure of BeCrCoP (GGA-PBE, Alexandria).

The structure belongs to space group Amm2 (No. 38); the cell edges are 3.443, 2.985 and 8.099 Å and the angles 90.00°, 90.00° and 90.00°. The asymmetric unit holds Be at (0.000, 0.000, 0.000), Cr at (0.000, 0.000, 0.727), Co at (0.500, 0.000, 0.452) and P at (0.500, 0.000, 0.165).

***

It is *one* that is the least stable of them.